Hf2ScSb | PBE | optimized geometry

Values from the calculation:
Total magnetization = 0.00 μB per formula unit
Space group = No. 122
E_tot = -59.5 eV/cell
Fermi-level density of states = 9.2 states/eV per cell
E_form (uncorrected) = 156 meV per atom

Lattice parameters (Å, degrees): 8.232 8.232 6.507 50.76 50.76 90.00
Element x y z (fractional)
1 Hf 0.097 0.625 0.250
2 Hf 0.375 0.347 0.750
3 Hf 0.653 0.125 0.250
4 Hf 0.875 0.903 0.750
5 Sb 0.750 0.250 0.500
6 Sb 0.000 0.000 0.000
7 Sc 0.250 0.750 0.500
8 Sc 0.500 0.500 0.000

***

RbLiSe2O6 | PBE | optimized geometry

Values from the calculation:
Total magnetization = 0.00 μB per formula unit
Space group = No. 15
E_tot = -100.7 eV/cell
Fermi-level density of states = 6.4 states/eV per cell
E_form (uncorrected) = -1076 meV per atom

Lattice parameters (Å, degrees): 7.912 7.912 6.679 107.14 107.14 94.30
Element x y z (fractional)
1 O 0.244 0.178 0.187
2 O 0.283 0.533 0.461
3 O 0.333 0.951 0.727
4 O 0.822 0.756 0.313
5 O 0.533 0.283 0.961
6 O 0.178 0.244 0.687
7 O 0.667 0.049 0.273
8 O 0.049 0.667 0.773
9 O 0.717 0.467 0.539
10 O 0.467 0.717 0.039
11 O 0.756 0.822 0.813
12 O 0.951 0.333 0.227
13 Se 0.163 0.326 0.369
14 Se 0.837 0.674 0.631
15 Se 0.674 0.837 0.131
16 Se 0.326 0.163 0.869
17 Rb 0.805 0.195 0.750
18 Rb 0.195 0.805 0.250
19 Li 0.707 0.293 0.250
20 Li 0.293 0.707 0.750

***

ZrBiRh2Cl | PBE | optimized geometry

Values from the calculation:
Total magnetization = 0.00 μB per formula unit
Space group = No. 123
E_tot = -27.9 eV/cell
Fermi-level density of states = 2.6 states/eV per cell
E_form (uncorrected) = 214 meV per atom

Lattice parameters (Å, degrees): 4.950 4.830 4.950 90.00 90.00 90.00
Element x y z (fractional)
1 Cl 0.000 0.500 0.000
2 Bi 0.500 0.500 0.500
3 Rh 0.500 0.000 0.000
4 Rh 0.000 0.000 0.500
5 Zr 0.000 0.000 0.000

***

SrSbAu | PBE | optimized geometry

Values from the calculation:
Total magnetization = 0.00 μB per formula unit
Space group = No. 107
E_tot = -10.5 eV/cell
Fermi-level density of states = 1.9 states/eV per cell
E_form (uncorrected) = -484 meV per atom

Lattice parameters (Å, degrees): 6.372 6.372 6.372 145.47 145.47 49.64
Element x y z (fractional)
1 Au 0.989 0.989 0.000
2 Sr 0.653 0.653 0.000
3 Sb 0.357 0.357 0.000

***

EuTmIr | PBE | optimized geometry

Values from the calculation:
Total magnetization = 7.01 μB per formula unit
DFT formation energy = -524.5 meV/atom
Space group = No. 216
E_tot = -25.2 eV/cell
Fermi-level density of states = 10.2 states/eV per cell

Lattice parameters (Å, degrees): 4.837 4.837 4.837 60.00 60.00 60.00
Last column: magnetic moment on the atom in μB.
Element x y z (fractional)
1 Tm 0.500 0.500 0.500  0.08
2 Ir 0.250 0.250 0.250  -0.07
3 Eu 0.000 0.000 0.000  6.77

***

CeSc2Fe9 | PBE | optimized geometry

Values from the calculation:
Total magnetization = 15.46 μB per formula unit
DFT formation energy = -150.7 meV/atom
Space group = No. 166
E_tot = -96.6 eV/cell
Fermi-level density of states = 11.3 states/eV per cell

Lattice parameters (Å, degrees): 4.952 4.952 8.522 73.11 73.11 60.00
Last column: magnetic moment on the atom in μB.
Element x y z (fractional)
1 Fe 0.586 0.084 0.744  1.97
2 Fe 0.916 0.414 0.256  1.97
3 Fe 0.333 0.333 0.002  2.23
4 Fe 0.500 0.500 0.500  1.65
5 Fe 0.084 0.586 0.744  1.97
6 Fe 0.414 0.916 0.256  1.97
7 Fe 0.586 0.586 0.744  1.97
8 Fe 0.667 0.667 0.998  2.23
9 Fe 0.414 0.414 0.256  1.97
10 Ce 0.000 0.000 0.000  -0.62
11 Sc 0.857 0.857 0.430  -0.44
12 Sc 0.143 0.143 0.570  -0.44

***

> What is the formula in the fifth record?

EuTmIr

***

Repeat the fifth record exactly.
EuTmIr | PBE | optimized geometry

Values from the calculation:
Total magnetization = 7.01 μB per formula unit
DFT formation energy = -524.5 meV/atom
Space group = No. 216
E_tot = -25.2 eV/cell
Fermi-level density of states = 10.2 states/eV per cell

Lattice parameters (Å, degrees): 4.837 4.837 4.837 60.00 60.00 60.00
Last column: magnetic moment on the atom in μB.
Element x y z (fractional)
1 Tm 0.500 0.500 0.500  0.08
2 Ir 0.250 0.250 0.250  -0.07
3 Eu 0.000 0.000 0.000  6.77

***

> Fermi-level density of states of number 6 (CeSc2Fe9)?

11.3 states/eV per cell